Entry 1:
Crystalline Ag4Te4As at its relaxed geometry. Source: Alexandria, functional PBE.

Lattice parameters (Å, degrees): 11.8471 9.7601 9.3995 90.00 90.00 90.00
With the nearest neighbours (Å) after each atom.
Space group Cmcm (No. 63)
Asymmetric unit:
Ag 0.1285 0.1849 0.2500  4 Te 2.90-3.02, 3 Ag 3.05-3.06
Ag 0.1941 0.0000 0.0000  4 Te 2.77-2.86, 2 Ag 3.06
Te 0.0000 0.1732 0.5185  1 As 2.84, 4 Ag 2.86-2.95
Te 0.1843 0.4742 0.2500  1 As 2.72, 4 Ag 2.77-3.02
As 0.0000 0.3604 0.7500  4 Te 2.72-2.84

## Properties
Energy relative to the elements, uncorrected   0.256 eV per formula unit
M_tot   0.0 μB/cell
Crystal system   orthorhombic
Density   6.21 g/cm³

Entry 2:
Crystalline LaTb2Nd at its relaxed geometry. Source: Alexandria, functional PBE.

Lattice parameters (Å, degrees): 5.1736 5.1736 5.0818 90.00 90.00 90.00
With the nearest neighbours (Å) after each atom.
Space group P4/mmm (No. 123)
Asymmetric unit:
La 0.0000 0.0000 0.0000  8 Tb 3.63, 4 Nd 3.66
Tb 0.0000 0.5000 0.5000  4 Nd 3.63, 4 La 3.63, 4 Tb 3.66
Nd 0.5000 0.5000 0.0000  8 Tb 3.63, 4 La 3.66

## Properties
M_tot   0.0 μB/cell
Crystal system   tetragonal
Density   7.34 g/cm³
Distance to the lowest polymorph of the same formula   10 meV per atom
DFT formation energy   0.0214 eV/atom

The records above yield total energy values of -3.152 -4.718 eV per atom, respectively.